(1)
Computed, not measured: FeAsIr2 after structural relaxation at the PBE-GGA level of DFT.

Its density of states at the Fermi level is 2.8 states/eV per cell. Its total magnetization is 3.187 Bohr magnetons per cell. The value obtained for the total DFT energy (no corrections) is -7.574 eV/atom.

```
4
Lattice="-0.310 4.991 1.402 -4.443 1.783 2.014 3.966 -3.330 0.392" Properties=species:S:1:pos:R:3 pbc="T T T"
Ir 0.765 2.345 1.661
Ir -0.018 0.026 0.013
As -2.374 3.383 1.706
Fe -1.537 1.076 2.135
```

=====

(2)
Computed, not measured: LaThSi3 after structural relaxation at the PBE-GGA level of DFT.

For the energy relative to the elements, uncorrected, the calculation gives -0.676 eV per atom. Its density of states at the Fermi level is 6.1 states/eV per cell. Its total magnetization is 0.000 Bohr magnetons per cell. The value obtained for the total DFT energy (no corrections) is -6.399 eV/atom.

```
10
Lattice="-1.955 -2.701 -2.335 2.568 -3.231 1.587 -9.530 -0.401 8.444" Properties=species:S:1:pos:R:3 pbc="T T T"
Si -2.141 -4.120 1.237
Si -0.578 -3.738 -0.515
La -1.631 -0.955 0.696
La -7.286 -5.378 7.000
Si -6.821 -3.335 4.247
Th -4.799 -2.841 1.982
Th -4.118 -3.492 5.714
Si -8.339 -2.595 8.211
Si -2.096 -2.998 3.449
Si -6.776 -2.213 6.459
```

=====

(3)
Computed, not measured: PmEr2TmP4 after structural relaxation at the PBE-GGA level of DFT.

Its density of states at the Fermi level is 0.8 states/eV per cell. Its total magnetization is 0.000 Bohr magnetons per cell. The value obtained for the total DFT energy (no corrections) is -6.587 eV/atom.

```
8
Lattice="4.008 0.000 0.000 0.000 6.935 0.121 0.000 -2.426 6.499" Properties=species:S:1:pos:R:3 pbc="T T T"
P 0.000 4.629 1.757
P 2.004 3.417 4.950
P 0.000 -0.120 4.862
Er 2.004 -1.213 3.249
Er 0.000 2.255 3.310
Tm 0.000 0.000 0.000
P 2.004 1.092 1.670
Pm 2.004 3.468 0.060
```

=====

(4)
Computed, not measured: La3IrO7 after structural relaxation at the PBE-GGA level of DFT.

For the energy relative to the elements, uncorrected, the calculation gives -2.632 eV per atom. Its density of states at the Fermi level is 9.1 states/eV per cell. Its total magnetization is 3.947 Bohr magnetons per cell. The value obtained for the total DFT energy (no corrections) is -7.937 eV/atom.

```
22
Lattice="6.759 0.022 0.000 -2.548 6.260 0.000 0.000 0.000 7.688" Properties=species:S:1:pos:R:3 pbc="T T T"
O 4.044 3.518 3.546
La 0.000 0.000 3.844
O 5.427 0.660 5.766
O 1.718 5.078 0.298
O -1.451 5.270 5.766
La 0.843 5.735 5.766
O 2.457 3.665 5.766
O 1.754 2.617 1.922
Ir 2.105 3.141 0.000
O 2.493 1.204 4.142
Ir 2.105 3.141 3.844
O 2.493 1.204 7.390
La 0.000 0.000 0.000
O 0.166 2.764 7.390
O 4.044 3.518 0.298
O 1.718 5.078 3.546
O -1.216 5.622 1.922
La -0.774 3.323 1.922
O 0.166 2.764 4.142
La 4.985 2.959 5.766
O 5.662 1.011 1.922
La 3.368 0.547 1.922
```

=====

(5)
Computed, not measured: Nb14ZnSn after structural relaxation at the PBE-GGA level of DFT.

Its density of states at the Fermi level is 18.1 states/eV per cell. Its total magnetization is 0.000 Bohr magnetons per cell. The value obtained for the total DFT energy (no corrections) is -9.160 eV/atom.

```
16
Lattice="6.663 -0.014 0.000 0.014 6.663 0.000 0.000 0.000 6.610" Properties=species:S:1:pos:R:3 pbc="T T T"
Nb 2.511 5.825 0.000
Nb 5.836 2.486 0.000
Nb 4.149 4.131 5.011
Nb 0.860 0.856 5.011
Nb 0.867 4.138 5.011
Zn 2.504 2.493 3.305
Nb 0.867 4.138 1.599
Nb 0.860 0.856 1.599
Sn 5.843 5.818 3.305
Nb 4.142 0.849 1.599
Nb 4.142 0.849 5.011
Nb 2.504 2.493 0.000
Nb 4.149 4.131 1.599
Nb 5.843 5.818 0.000
Nb 5.836 2.487 3.305
Nb 2.511 5.825 3.305
```

=====

(6)
Computed, not measured: Ta2BeCu after structural relaxation at the PBE-GGA level of DFT.

Its density of states at the Fermi level is 2.6 states/eV per cell. Its total magnetization is 0.000 Bohr magnetons per cell. The value obtained for the total DFT energy (no corrections) is -7.806 eV/atom.

```
4
Lattice="-0.679 -4.294 -2.830 4.078 -3.138 -0.655 -3.341 2.250 3.268" Properties=species:S:1:pos:R:3 pbc="T T T"
Cu 1.329 -2.546 0.321
Be 1.623 -3.550 -1.665
Ta -1.227 -2.734 -0.584
Ta 0.031 -0.068 -0.032
```

=====

(7)
Computed, not measured: Zn6NiPd5 after structural relaxation at the PBE-GGA level of DFT.

Its density of states at the Fermi level is 2.2 states/eV per cell. Its total magnetization is 0.000 Bohr magnetons per cell. The value obtained for the total DFT energy (no corrections) is -3.778 eV/atom.

```
12
Lattice="-0.512 3.797 1.453 -6.540 -1.301 1.097 1.597 -3.876 4.927" Properties=species:S:1:pos:R:3 pbc="T T T"
Ni 0.000 0.000 0.000
Pd 0.901 -1.328 3.798
Pd -2.377 -1.966 4.311
Zn -1.171 -0.968 2.119
Zn -4.284 -0.412 5.358
Zn -0.963 0.248 4.800
Zn -3.598 -2.960 6.482
Pd -6.356 -0.052 3.679
Zn -4.492 -1.628 2.676
Pd -3.270 -0.651 0.549
Zn -1.857 1.580 0.995
Pd -3.077 0.586 3.166
```

=====

(8)
Computed, not measured: SnSbPb after structural relaxation at the PBE-GGA level of DFT.

For the energy relative to the elements, uncorrected, the calculation gives 0.114 eV per atom. Its polymorph energy (0 for the lowest one) is 59 meV per atom. Its density of states at the Fermi level is 6.3 states/eV per cell. Its total magnetization is 0.000 Bohr magnetons per cell. The value obtained for the total DFT energy (no corrections) is -3.831 eV/atom.

```
12
Lattice="-6.074 0.400 -1.246 -1.692 -1.793 -7.825 -3.993 -7.901 1.440" Properties=species:S:1:pos:R:3 pbc="T T T"
Sn -6.537 -3.523 -0.247
Sn -1.948 -1.414 -6.455
Sb -2.455 -3.602 -4.683
Sn -5.818 0.020 -2.616
Sb -5.902 -2.795 -3.113
Sb -5.857 -6.499 -4.517
Sn -3.530 -3.979 0.441
Pb -2.897 -1.914 -1.986
Pb -8.862 -7.380 -5.644
Pb -6.507 -6.570 -1.373
Pb -5.252 -2.724 -6.258
Sb -9.304 -5.693 -2.947
```